## KNiPd (PBE-GGA)

Data for a relaxed KNiPd crystal.

Cell and atoms, written as CIF:
```
data_KNiPd
_symmetry_space_group_name_H-M 'F -4 3 m'
_symmetry_Int_Tables_number 216
_symmetry_space_group_name_Hall 'F -4 2 3'
_cell_length_a 6.613
_cell_length_b 6.613
_cell_length_c 6.613
_cell_angle_alpha 90.00
_cell_angle_beta 90.00
_cell_angle_gamma 90.00
loop_
_atom_site_label
_atom_site_type_symbol
_atom_site_fract_x
_atom_site_fract_y
_atom_site_fract_z
_atom_site_occupancy
K1 K 0.000 0.000 0.000 1
Ni1 Ni 0.250 0.250 0.750 1
Pd1 Pd 0.250 0.250 0.250 1
```

Polymorph energy (0 for the lowest one) (meV/atom): 508



## KNiPd (PBE-GGA)

Data for a relaxed KNiPd crystal.

Cell and atoms, written as CIF:
```
data_KNiPd
_symmetry_space_group_name_H-M 'F -4 3 m'
_symmetry_Int_Tables_number 216
_symmetry_space_group_name_Hall 'F -4 2 3'
_cell_length_a 6.420
_cell_length_b 6.420
_cell_length_c 6.420
_cell_angle_alpha 90.00
_cell_angle_beta 90.00
_cell_angle_gamma 90.00
loop_
_atom_site_label
_atom_site_type_symbol
_atom_site_fract_x
_atom_site_fract_y
_atom_site_fract_z
_atom_site_occupancy
K1 K 0.000 0.000 0.000 1
Ni1 Ni 0.250 0.250 0.250 1
Pd1 Pd 0.000 0.000 0.500 1
```

Polymorph energy (0 for the lowest one) (meV/atom): 0